Computed, not measured: Pr6Sm2Er after structural relaxation at the PBE level of DFT.

Cell lengths 10.198, 10.198, 3.688 Å; angles 90.00, 90.00, 124.09 degrees
Positions (direct):
Pr 0.010 0.340 0.000
Pr 0.185 0.185 0.500
Pr 0.340 0.010 0.000
Pr 0.660 0.990 0.000
Pr 0.815 0.815 0.500
Pr 0.990 0.660 0.000
Sm 0.326 0.674 0.500
Sm 0.674 0.326 0.500
Er 0.500 0.500 0.000

Results
**Calculated density**: 6.9 g/cm3
**Distance to the lowest polymorph of the same formula**: 0.0 kJ per mole of atoms
**Formation energy from the elements**: 1.2 eV per formula unit
**Crystal system**: orthorhombic
**Magnetic moment**: 0.00 μB per atom
**Space group**: Cmmm (65)

Computed, not measured: Pr4Sm2Er3 after structural relaxation at the PBE level of DFT.

Cell lengths 6.271, 6.271, 10.878 Å; angles 106.50, 106.50, 48.38 degrees
Positions (direct):
Pr 0.002 0.002 0.334
Pr 0.334 0.334 0.112
Pr 0.666 0.666 0.888
Pr 0.998 0.998 0.666
Sm 0.332 0.332 0.775
Sm 0.668 0.668 0.225
Er 0.000 0.000 0.000
Er 0.334 0.334 0.447
Er 0.666 0.666 0.553

Results
**Calculated density**: 7.5 g/cm3
**Distance to the lowest polymorph of the same formula**: 0.0 kJ per mole of atoms
**Formation energy from the elements**: 0.2 eV per formula unit
**Crystal system**: monoclinic
**Magnetic moment**: 0.00 μB per atom
**Space group**: C2/m (12)

Computed, not measured: Pr2SmEr after structural relaxation at the PBE level of DFT.

Cell lengths 5.787, 5.787, 5.787 Å; angles 60.00, 60.00, 60.00 degrees
Positions (direct):
Pr 0.250 0.250 0.250
Pr 0.750 0.750 0.750
Sm 0.000 0.000 0.000
Er 0.500 0.500 0.500

Results
**Calculated density**: 7.3 g/cm3
**Distance to the lowest polymorph of the same formula**: 9.9 kJ per mole of atoms
**Formation energy from the elements**: 0.5 eV per formula unit
**Crystal system**: cubic
**Magnetic moment**: 0.00 μB per atom
**Space group**: Fm-3m (225)